No. 1
A relaxed CePm3Nd2As6 crystal. Source: Alexandria via LeMat-Bulk, functional GGA-PBE.

Summary:
Total moment in μB/atom: 0.0434
Energy of formation from the pure elements in eV per atom: -1.512

abc: 18.487 4.248 8.494
angles: 90.00 103.26 90.00
Space group C2/m (No. 12)
Unique sites:
Ce 0.000 0.000 0.000 (multiplicity 2)
Pm 0.000 0.000 0.500 (multiplicity 2)
Pm 0.168 0.500 0.833 (multiplicity 4)
Nd 0.167 0.500 0.335 (multiplicity 4)
As 0.001 0.500 0.754 (multiplicity 4)
As 0.165 0.000 0.081 (multiplicity 4)
As 0.166 0.000 0.585 (multiplicity 4)



No. 2
A relaxed YInIr4 crystal. Source: Alexandria via LeMat-Bulk, functional GGA-PBE.

Summary:
Total moment in μB/atom: 0.0000
Energy of formation from the pure elements in eV per atom: -0.376

abc: 7.528 7.528 7.528
angles: 90.00 90.00 90.00
Space group F-43m (No. 216)
Unique sites:
Y 0.000 0.000 0.000 (multiplicity 4)
In 0.250 0.250 0.250 (multiplicity 4)
Ir 0.125 0.125 0.625 (multiplicity 16)



No. 3
A relaxed K2AgN2 crystal. Source: Alexandria via LeMat-Bulk, functional GGA-PBE.

Summary:
Total moment in μB/atom: 0.1873
Energy relative to the elements, uncorrected in meV per atom: 72
Energy above the most stable polymorph in this dataset in meV per atom: 55

abc: 5.684 5.684 9.055
angles: 90.00 90.00 90.00
Space group I4/mmm (No. 139)
Unique sites:
K 0.000 0.500 0.250 (multiplicity 4)
Ag 0.000 0.000 0.000 (multiplicity 2)
N 0.000 0.000 0.436 (multiplicity 4)



No. 4
A relaxed NaAlTlIn crystal. Source: Alexandria via LeMat-Bulk, functional GGA-PBE.

Summary:
Total moment in μB/atom: 0.0000
Energy of formation from the pure elements in eV per atom: 0.042

abc: 7.300 7.300 7.300
angles: 90.00 90.00 90.00
Space group F-43m (No. 216)
Unique sites:
Na 0.000 0.000 0.000 (multiplicity 4)
Al 0.000 0.000 0.500 (multiplicity 4)
Tl 0.250 0.250 0.750 (multiplicity 4)
In 0.250 0.250 0.250 (multiplicity 4)



No. 5
A relaxed Na2CaCoAu crystal. Source: Alexandria via LeMat-Bulk, functional GGA-PBE.

Summary:
Total moment in μB/atom: 0.1674
Energy of formation from the pure elements in eV per atom: 0.520

abc: 5.211 5.211 5.193
angles: 90.00 90.00 90.00
Space group P4/mmm (No. 123)
Unique sites:
Na 0.000 0.500 0.000 (multiplicity 2)
Ca 0.000 0.000 0.500 (multiplicity 1)
Co 0.000 0.000 0.000 (multiplicity 1)
Au 0.500 0.500 0.500 (multiplicity 1)



No. 6
A relaxed CoIrRu2 crystal. Source: Alexandria via LeMat-Bulk, functional GGA-PBE.

Summary:
Total moment in μB/atom: 0.0007
Energy of formation from the pure elements in eV per atom: 0.079

abc: 3.731 3.731 7.626
angles: 90.00 90.00 90.00
Space group I4/mmm (No. 139)
Unique sites:
Co 0.000 0.000 0.000 (multiplicity 2)
Ir 0.000 0.000 0.500 (multiplicity 2)
Ru 0.000 0.500 0.250 (multiplicity 4)